(1)
Entry from the Alexandria database: a relaxed structure of Ba3Tm2PaO9 (PBE).

abc: 6.1976 6.1976 7.6328
angles: 90.00 90.00 120.00
Element x y z (fractional)
Ba1 0.3333 0.6667 0.6882
Ba2 0.0000 0.0000 0.0000
Ba3 0.6667 0.3333 0.3118
Tm1 0.3333 0.6667 0.1651
Tm2 0.6667 0.3333 0.8349
Pa1 0.0000 0.0000 0.5000
O1 0.8364 0.1636 0.6655
O2 0.8364 0.6729 0.6655
O3 0.3271 0.1636 0.6655
O4 0.6729 0.8364 0.3345
O5 0.1636 0.3271 0.3345
O6 0.1636 0.8364 0.3345
O7 0.5000 0.0000 0.0000
O8 0.0000 0.5000 0.0000
O9 0.5000 0.5000 0.0000

The spin magnetization comes out at 0.81 μB/cell. The energy relative to the elements, uncorrected is -47.56 eV per formula unit. The density of states at the Fermi level is 0.87 states/eV/atom.


(2)
Entry from the Alexandria database: a relaxed structure of TlIn7Sn4 (PBE).

abc: 3.4237 3.4237 32.6492
angles: 90.00 90.00 120.00
Element x y z (fractional)
Tl1 0.0000 0.0000 0.5000
In1 0.0000 0.0000 0.0000
In2 0.3333 0.6667 0.4140
In3 0.6667 0.3333 0.5860
In4 0.3333 0.6667 0.1666
In5 0.6667 0.3333 0.8334
In6 0.0000 0.0000 0.7513
In7 0.0000 0.0000 0.2487
Sn1 0.3333 0.6667 0.9175
Sn2 0.6667 0.3333 0.0825
Sn3 0.3333 0.6667 0.6688
Sn4 0.6667 0.3333 0.3312

The spin magnetization comes out at 0.00 μB/cell. The calculation puts the formation energy at 0.0297 eV/atom. The density of states at the Fermi level is 0.39 states/eV/atom.


(3)
Entry from the Alexandria database: a relaxed structure of LaMg2CuS4 (PBE).

abc: 3.8467 6.5557 12.9235
angles: 90.00 90.00 107.06
Element x y z (fractional)
La1 0.1199 0.2398 0.7500
La2 0.8801 0.7602 0.2500
Mg1 0.3737 0.7475 0.5561
Mg2 0.6263 0.2525 0.0561
Mg3 0.6263 0.2525 0.4439
Mg4 0.3737 0.7475 0.9439
Cu1 0.8503 0.7006 0.7500
Cu2 0.1497 0.2994 0.2500
S1 0.2714 0.5428 0.1144
S2 0.7286 0.4572 0.6144
S3 0.7286 0.4572 0.8856
S4 0.2714 0.5428 0.3856
S5 0.0000 0.0000 0.5000
S6 0.0000 0.0000 0.0000
S7 0.4489 0.8977 0.7500
S8 0.5511 0.1023 0.2500

The spin magnetization comes out at 0.00 μB/cell. The energy relative to the elements, uncorrected is -11.28 eV per formula unit.


(4)
Entry from the Alexandria database: a relaxed structure of CrBiP (PBE).

abc: 3.3833 3.3833 6.3219
angles: 90.00 90.00 120.00
Element x y z (fractional)
Cr1 0.3333 0.6667 0.0198
Bi1 0.0000 0.0000 0.3818
P1 0.6667 0.3333 0.8346

The spin magnetization comes out at 1.86 μB/cell. The calculation puts the formation energy at 0.1645 eV/atom. The density of states at the Fermi level is 0.97 states/eV/atom.